Record 1
! Pm2Pr3Mg | the Alexandria database | GGA-PBE | relaxed; values from VASP
! DFT total energy: -23.49 eV for the cell shown
! offset from the most stable computed form: 322 meV per atom
! total magnetic moment: 0.000 μB per formula unit
! DOS at the Fermi energy: 9.3 states/eV/cell
&SYSTEM
  ibrav = 0, nat = 6, ntyp = 3
/
ATOMIC_SPECIES
Pm 145.00 Pm.upf
Pr 140.91 Pr.upf
Mg 24.30 Mg.upf
ATOMIC_POSITIONS angstrom
Pm 1.7120 3.1649 3.0313
Pm 0.0000 0.0000 6.6577
Pr 0.0000 3.1649 0.0000
Pr 1.7120 3.1649 6.4380
Pr 0.0000 0.0000 3.2510
Mg 0.0000 0.0000 0.0000
CELL_PARAMETERS angstrom
3.4241 0.0000 0.0000
0.0000 6.3298 0.0000
-1.7120 -3.1649 9.6890

***

Record 2
! PmPr2Mg9 | the Alexandria database | GGA-PBE | relaxed; values from VASP
! DFT total energy: -29.48 eV for the cell shown
! total magnetic moment: 0.000 μB per formula unit
! DOS at the Fermi energy: 11.7 states/eV/cell
&SYSTEM
  ibrav = 0, nat = 12, ntyp = 3
/
ATOMIC_SPECIES
Pm 145.00 Pm.upf
Pr 140.91 Pr.upf
Mg 24.30 Mg.upf
ATOMIC_POSITIONS angstrom
Pm 0.0000 0.0000 0.0000
Pr -0.7659 -6.4097 -9.3705
Pr -2.3021 -5.8142 -2.3806
Mg 0.8393 -1.8476 -6.7370
Mg -3.9072 -10.3762 -5.0141
Mg -1.5340 -6.1119 -5.8756
Mg -0.5497 -3.4975 -4.6115
Mg -1.5649 -3.5182 -7.5106
Mg 1.1062 -4.8630 -6.8090
Mg -2.5183 -8.7263 -7.1396
Mg -4.1742 -7.3608 -4.9421
Mg -1.5031 -8.7057 -4.2405
CELL_PARAMETERS angstrom
-2.0138 -0.0410 -5.7508
3.2848 -2.7087 -4.3591
-4.3389 -9.4741 -1.6412

***

Record 3
! Pm2Pr7Mg2 | the Alexandria database | GGA-PBE | relaxed; values from VASP
! DFT total energy: -44.79 eV for the cell shown
! offset from the most stable computed form: 25 meV per atom
! total magnetic moment: 0.000 μB per formula unit
! DOS at the Fermi energy: 15.2 states/eV/cell
&SYSTEM
  ibrav = 0, nat = 11, ntyp = 3
/
ATOMIC_SPECIES
Pm 145.00 Pm.upf
Pr 140.91 Pr.upf
Mg 24.30 Mg.upf
ATOMIC_POSITIONS angstrom
Pm 4.2710 0.3041 6.1930
Pm 4.2710 5.6918 2.4595
Pr 1.5354 -0.0733 3.7698
Pr 7.0066 2.4405 7.3973
Pr 7.0066 6.0692 4.8827
Pr 1.5354 3.5554 1.2552
Pr 0.0000 0.0000 0.0000
Pr 4.4191 3.9301 5.6714
Pr 4.1228 2.0658 2.9811
Mg 7.1901 2.7471 3.9643
Mg 1.3518 3.2488 4.6883
CELL_PARAMETERS angstrom
8.2022 0.7880 1.1371
0.1699 6.7801 0.8638
0.1699 -1.5721 6.6516

***

Record 4
! PmPr6Mg | the Alexandria database | GGA-PBE | relaxed; values from VASP
! DFT total energy: -34.35 eV for the cell shown
! offset from the most stable computed form: 75 meV per atom
! total magnetic moment: 0.000 μB per formula unit
! DOS at the Fermi energy: 11.5 states/eV/cell
&SYSTEM
  ibrav = 0, nat = 8, ntyp = 3
/
ATOMIC_SPECIES
Pm 145.00 Pm.upf
Pr 140.91 Pr.upf
Mg 24.30 Mg.upf
ATOMIC_POSITIONS angstrom
Pm -10.5174 -3.4285 3.1066
Pr -8.4125 -3.8920 0.2402
Pr -8.9658 -3.1278 6.3247
Pr -7.1429 -2.2230 3.2605
Pr -12.0691 -3.7293 -0.1114
Pr -12.6223 -2.9651 5.9731
Pr -13.8919 -4.6341 2.9528
Mg 0.0000 0.0000 0.0000
CELL_PARAMETERS angstrom
-7.0416 -0.4648 6.8684
-9.2315 -2.2794 -2.5556
-4.7617 -4.1129 1.9005

***

Record 5
! Pm3Pr5Mg | the Alexandria database | GGA-PBE | relaxed; values from VASP
! DFT total energy: -71.94 eV for the cell shown
! total magnetic moment: 0.176 μB per formula unit
! DOS at the Fermi energy: 26.0 states/eV/cell
&SYSTEM
  ibrav = 0, nat = 18, ntyp = 3
/
ATOMIC_SPECIES
Pm 145.00 Pm.upf
Pr 140.91 Pr.upf
Mg 24.30 Mg.upf
ATOMIC_POSITIONS angstrom
Pm 8.9048 6.7240 7.8473
Pm 9.0875 6.8619 4.2461
Pm 0.0000 0.0000 0.0000
Pm 1.1128 0.8403 5.8240
Pm 4.1564 3.1385 1.9719
Pm 3.9738 3.0006 5.5732
Pr 8.7451 3.6770 1.7069
Pr 4.5797 5.2008 -0.9144
Pr 8.2793 6.2517 -1.0503
Pr 6.2211 4.6975 3.4570
Pr 6.8401 5.1649 6.3623
Pr 4.7819 3.6108 10.8696
Pr 5.9306 7.4044 1.7069
Pr 6.2559 2.9810 -0.9144
Pr 4.3162 6.1854 8.1124
Pr 7.1307 2.4580 8.1124
Mg 2.7742 2.0947 8.5081
Mg 10.2871 7.7677 1.3111
CELL_PARAMETERS angstrom
7.8753 0.8363 -0.9144
2.9602 7.3456 -0.9144
2.2257 1.6806 11.6481

***

Record 6
! Pm6PrMg2 | the Alexandria database | GGA-PBE | relaxed; values from VASP
! DFT total energy: -36.71 eV for the cell shown
! total magnetic moment: 0.000 μB per formula unit
! DOS at the Fermi energy: 9.5 states/eV/cell
&SYSTEM
  ibrav = 0, nat = 9, ntyp = 3
/
ATOMIC_SPECIES
Pm 145.00 Pm.upf
Pr 140.91 Pr.upf
Mg 24.30 Mg.upf
ATOMIC_POSITIONS angstrom
Pm 3.4137 3.2988 2.8080
Pm 1.8044 3.3163 11.6241
Pm 2.3598 5.1677 8.5819
Pm 4.8043 4.4928 5.9448
Pm 0.4139 2.1223 8.4873
Pm 2.8584 1.4474 5.8503
Pr 0.0000 0.0000 0.0000
Mg 1.4247 0.6295 2.9500
Mg 3.7935 5.9856 11.4821
CELL_PARAMETERS angstrom
3.7997 0.0000 0.6936
1.6640 6.3539 1.6389
-0.2455 0.2612 12.0996

***

Record 7
! Pm8Pr3Mg | the Alexandria database | GGA-PBE | relaxed; values from VASP
! DFT total energy: -53.25 eV for the cell shown
! total magnetic moment: 0.000 μB per formula unit
! DOS at the Fermi energy: 14.6 states/eV/cell
&SYSTEM
  ibrav = 0, nat = 12, ntyp = 3
/
ATOMIC_SPECIES
Pm 145.00 Pm.upf
Pr 140.91 Pr.upf
Mg 24.30 Mg.upf
ATOMIC_POSITIONS angstrom
Pm 3.6993 11.8911 13.7873
Pm 3.4099 13.2856 10.4804
Pm 3.6458 6.6558 10.4354
Pm 1.7652 6.3996 7.2087
Pm 3.3516 9.3243 7.9095
Pm 4.3291 10.6790 2.9041
Pm 3.1776 4.5209 0.8940
Pm 3.6877 12.6440 6.8145
Pr 2.9251 8.1729 13.9142
Pr 2.0884 6.0866 3.8251
Pr 1.8289 8.3053 1.0852
Mg 2.7393 10.0585 11.0773
CELL_PARAMETERS angstrom
2.9928 1.1546 -1.8397
1.5754 9.7759 1.2584
0.7876 5.3045 15.7490

***

Record 8
! Pm2Pr2Mg | the Alexandria database | GGA-PBE | relaxed; values from VASP
! DFT total energy: -18.86 eV for the cell shown
! offset from the most stable computed form: 388 meV per atom
! total magnetic moment: 0.004 μB per formula unit
! DOS at the Fermi energy: 7.0 states/eV/cell
&SYSTEM
  ibrav = 0, nat = 5, ntyp = 3
/
ATOMIC_SPECIES
Pm 145.00 Pm.upf
Pr 140.91 Pr.upf
Mg 24.30 Mg.upf
ATOMIC_POSITIONS angstrom
Pm 2.2533 0.0000 4.4543
Pm 0.0000 2.2533 4.4543
Pr 0.0000 0.0000 7.2874
Pr 2.2533 2.2533 1.6213
Mg 0.0000 0.0000 0.0000
CELL_PARAMETERS angstrom
4.5066 0.0000 0.0000
0.0000 4.5066 0.0000
-2.2533 -2.2533 8.9087

***

Record 9
! PmPrMgRh | the Alexandria database | GGA-PBE | relaxed; values from VASP
! DFT total energy: -19.65 eV for the cell shown
! total magnetic moment: 0.000 μB per formula unit
! DOS at the Fermi energy: 2.8 states/eV/cell
&SYSTEM
  ibrav = 0, nat = 4, ntyp = 4
/
ATOMIC_SPECIES
Pr 140.91 Pr.upf
Mg 24.30 Mg.upf
Rh 102.91 Rh.upf
Pm 145.00 Pm.upf
ATOMIC_POSITIONS angstrom
Pr -1.0701 0.5397 2.9638
Mg 0.0000 0.0000 0.0000
Rh -2.1402 1.0794 5.9275
Pm -3.2103 1.6191 8.8913
CELL_PARAMETERS angstrom
-4.2653 0.4367 2.9783
0.0772 -1.7001 4.9354
-0.0923 3.4221 3.9414

***

Record 10
! PmPrMgSc | the Alexandria database | GGA-PBE | relaxed; values from VASP
! DFT total energy: -17.48 eV for the cell shown
! offset from the most stable computed form: 0 meV per atom
! total magnetic moment: 0.346 μB per formula unit
! DOS at the Fermi energy: 6.4 states/eV/cell
&SYSTEM
  ibrav = 0, nat = 4, ntyp = 4
/
ATOMIC_SPECIES
Pm 145.00 Pm.upf
Pr 140.91 Pr.upf
Mg 24.30 Mg.upf
Sc 44.96 Sc.upf
ATOMIC_POSITIONS angstrom
Pm -0.9530 0.1801 2.9390
Pr -2.2663 0.4283 6.9892
Mg -4.0201 0.9193 4.1158
Sc -2.7104 0.6718 0.0768
CELL_PARAMETERS angstrom
-1.7855 3.1670 -0.7730
-3.0524 -1.9336 -0.8713
-2.6515 0.5011 8.1771

***

Record 11
! PmPrMgSc | the Alexandria database | GGA-PBE | relaxed; values from VASP
! DFT total energy: -17.41 eV for the cell shown
! offset from the most stable computed form: 19 meV per atom
! total magnetic moment: 0.000 μB per formula unit
! DOS at the Fermi energy: 4.8 states/eV/cell
&SYSTEM
  ibrav = 0, nat = 4, ntyp = 4
/
ATOMIC_SPECIES
Pr 140.91 Pr.upf
Sc 44.96 Sc.upf
Mg 24.30 Mg.upf
Pm 145.00 Pm.upf
ATOMIC_POSITIONS angstrom
Pr -1.6237 -1.8446 2.3046
Sc 0.0000 0.0000 0.0000
Mg -3.2473 -3.6892 4.6092
Pm -4.8710 -5.5339 6.9139
CELL_PARAMETERS angstrom
-4.0159 -3.6751 0.7958
0.5605 -3.8986 3.8410
-3.0392 0.1953 4.5817

***

Record 12
! Pm3Pr3MgSe8 | the Alexandria database | GGA-PBE | relaxed; values from VASP
! DFT total energy: -84.89 eV for the cell shown
! total magnetic moment: 0.000 μB per formula unit
! DOS at the Fermi energy: 3.7 states/eV/cell
&SYSTEM
  ibrav = 0, nat = 15, ntyp = 4
/
ATOMIC_SPECIES
Pm 145.00 Pm.upf
Pr 140.91 Pr.upf
Mg 24.30 Mg.upf
Se 78.96 Se.upf
ATOMIC_POSITIONS angstrom
Pm -2.7945 5.1664 -0.9233
Pm -3.9581 1.1363 -0.8937
Pm -3.1788 -1.2472 2.4690
Pr 0.0000 0.0000 0.0000
Pr -1.1636 -4.0301 0.0295
Pr -1.9429 -1.6466 -3.3332
Mg -2.0152 2.7829 2.4395
Se -2.5956 -1.4366 -0.4168
Se -5.3206 3.7093 -1.3706
Se -3.4737 0.8887 -3.7978
Se -4.4425 1.3839 2.0104
Se -2.2638 5.0779 -3.8284
Se -5.6524 -2.8053 2.0410
Se -1.4538 2.6005 -0.3331
Se -6.4624 -0.3279 -1.4543
CELL_PARAMETERS angstrom
-1.5585 4.7669 -6.7255
-2.3273 -8.0602 0.0591
-4.0304 5.5659 4.8790

***

> The lowest DFT total energy belongs to which entry?

Pm3Pr3MgSe8